No. 1
A relaxed structure of LaNb2Cu2, computed with GGA-PBE.

a b c (Å): 8.041 8.041 2.862
angles (deg): 90.00 90.00 90.00
Element x y z (fractional)
Nb 0.381 0.881 0.000
Nb 0.881 0.619 0.000
Nb 0.619 0.119 0.000
Nb 0.119 0.381 0.000
Cu 0.174 0.674 0.500
Cu 0.674 0.826 0.500
Cu 0.826 0.326 0.500
Cu 0.326 0.174 0.500
La 0.000 0.000 0.000
La 0.500 0.500 0.000

Summary:
DFT total energy	-64.21	eV/cell
distance to the lowest polymorph of the same formula	0.46	eV/f.u.
space group	P4/mbm (127)
calculated formation energy	0.23	eV per atom

No. 2
A relaxed structure of Te3Os, computed with GGA-PBE.

a b c (Å): 8.737 8.737 3.980
angles (deg): 90.00 90.00 121.45
Element x y z (fractional)
Te 0.924 0.076 0.250
Te 0.076 0.924 0.750
Te 0.878 0.585 0.250
Te 0.122 0.415 0.750
Te 0.415 0.122 0.250
Te 0.585 0.878 0.750
Os 0.456 0.544 0.750
Os 0.544 0.456 0.250

Summary:
DFT total energy	-37.96	eV/cell
ΔE_f (raw)	418.5	meV/atom
space group	Cmcm (63)

No. 3
A relaxed structure of CaTi3Cl, computed with GGA-PBE.

a b c (Å): 5.004 5.004 5.004
angles (deg): 90.00 90.00 90.00
Site moments in Bohr magnetons follow the coordinates.
Element x y z (fractional)
Ca 0.000 0.000 0.000  0.15
Cl 0.500 0.500 0.500  0.01
Ti 0.000 0.500 0.000  0.82
Ti 0.000 0.000 0.500  0.79
Ti 0.500 0.000 0.000  0.80

Summary:
DFT total energy	-18.50	eV/cell
distance to the lowest polymorph of the same formula	8.51	eV/f.u.
ΔE_f (raw)	1807.5	meV/atom
space group	Pm-3m (221)

No. 4
A relaxed structure of AgAu, computed with GGA-PBE.

a b c (Å): 5.052 4.785 5.967
angles (deg): 90.00 90.00 90.00
Element x y z (fractional)
Ag 0.086 0.250 0.125
Ag 0.414 0.750 0.625
Ag 0.586 0.250 0.375
Ag 0.914 0.750 0.875
Au 0.081 0.250 0.626
Au 0.419 0.750 0.126
Au 0.581 0.250 0.874
Au 0.919 0.750 0.374

Summary:
DFT total energy	-24.79	eV/cell
space group	Pnma (62)
calculated formation energy	-0.03	eV per atom

no.,DOS(E_F) (states/eV per cell)
1,7.073
2,5.188
3,7.550
4,1.800